VASP calculation (PBE) on YV2FeHg after structural relaxation.

The structure in POSCAR format:
```
YV2FeHg
1.0
4.743 0.000 0.000
0.000 4.743 0.000
0.000 0.000 4.622
Y V Fe Hg
1 2 1 1
direct
0.000 0.000 0.000 Y
0.000 0.500 0.000 V
0.500 0.000 0.000 V
0.000 0.000 0.500 Fe
0.500 0.500 0.500 Hg
```

Summary:
- Theoretical density: 7.14 Mg/m³
- Total moment: 3.02 μB/cell
- Energy relative to the elements: 9.506 eV per formula unit

=====

VASP calculation (PBE) on Zr2VFeHg after structural relaxation.

The structure in POSCAR format:
```
Zr2VFeHg
1.0
4.920 0.000 0.000
0.000 4.920 0.000
0.000 0.000 4.236
Zr V Fe Hg
2 1 1 1
direct
0.000 0.500 0.000 Zr
0.500 0.000 0.000 Zr
0.000 0.000 0.500 V
0.000 0.000 0.000 Fe
0.500 0.500 0.500 Hg
```

Summary:
- Theoretical density: 7.93 Mg/m³
- Total moment: 1.05 μB/cell
- Energy relative to the elements: 1.427 eV per formula unit

=====

VASP calculation (PBE) on ZrVFe2Hg after structural relaxation.

The structure in POSCAR format:
```
ZrVFe2Hg
1.0
4.204 0.000 0.000
0.000 4.204 0.000
0.000 0.000 4.990
Zr V Fe Hg
1 1 2 1
direct
0.000 0.000 0.000 Zr
0.500 0.500 0.500 V
0.000 0.500 0.500 Fe
0.500 0.000 0.500 Fe
0.500 0.500 0.000 Hg
```

Summary:
- Theoretical density: 8.55 Mg/m³
- Total moment: 0.00 μB/cell
- Energy relative to the elements: 4.174 eV per formula unit

=====

VASP calculation (PBE) on FeHg2W after structural relaxation.

The structure in POSCAR format:
```
FeHg2W
1.0
2.971 0.000 0.000
0.000 2.937 0.000
-1.154 0.000 8.254
Fe Hg W
1 2 1
direct
0.000 0.000 0.000 Fe
0.165 0.000 0.431 Hg
0.395 0.500 0.757 Hg
0.562 0.500 0.158 W
```

Summary:
- Theoretical density: 14.78 Mg/m³
- Total moment: 0.16 μB/cell
- Energy relative to the elements: 1.735 eV per formula unit

=====

VASP calculation (PBE) on FeHg2W after structural relaxation.

The structure in POSCAR format:
```
FeHg2W
1.0
4.962 0.000 0.000
0.000 4.962 0.000
0.000 0.000 2.891
Fe Hg W
1 2 1
direct
0.000 0.000 0.000 Fe
0.000 0.500 0.500 Hg
0.500 0.000 0.500 Hg
0.500 0.500 0.000 W
```

Summary:
- Theoretical density: 14.95 Mg/m³
- Total moment: 2.70 μB/cell
- Energy relative to the elements: 3.417 eV per formula unit

=====

VASP calculation (PBE) on FeHgW4 after structural relaxation.

The structure in POSCAR format:
```
FeHgW4
1.0
0.000 3.742 3.742
3.742 0.000 3.742
3.742 3.742 0.000
Fe Hg W
1 1 4
direct
0.000 0.000 0.000 Fe
0.250 0.250 0.250 Hg
0.125 0.625 0.625 W
0.625 0.125 0.625 W
0.625 0.625 0.125 W
0.625 0.625 0.625 W
```

Summary:
- Theoretical density: 15.72 Mg/m³
- Total moment: 2.10 μB/cell
- Energy relative to the elements: 4.728 eV per formula unit

=====

VASP calculation (PBE) on FeHg2W after structural relaxation.

The structure in POSCAR format:
```
FeHg2W
1.0
-1.516 2.403 4.811
1.516 -2.403 4.811
1.516 2.403 -4.811
Fe Hg W
1 2 1
direct
0.000 0.000 0.000 Fe
0.235 0.735 0.500 Hg
0.765 0.265 0.500 Hg
0.500 0.500 0.000 W
```

Summary:
- Theoretical density: 15.18 Mg/m³
- Total moment: 2.00 μB/cell
- Energy relative to the elements: 3.310 eV per formula unit

=====

VASP calculation (PBE) on FeHg2W after structural relaxation.

The structure in POSCAR format:
```
FeHg2W
1.0
1.548 0.894 9.098
-1.548 0.894 9.098
0.000 -1.787 9.098
Fe Hg W
1 2 1
direct
0.000 0.000 0.000 Fe
0.250 0.250 0.250 Hg
0.481 0.481 0.481 Hg
0.721 0.721 0.721 W
```

Summary:
- Theoretical density: 14.10 Mg/m³
- Total moment: 0.04 μB/cell
- Energy relative to the elements: 2.168 eV per formula unit

=====

VASP calculation (PBE) on FeHg2W after structural relaxation.

The structure in POSCAR format:
```
FeHg2W
1.0
2.889 -4.331 0.000
2.889 4.331 0.000
-0.008 0.000 2.811
Fe Hg W
1 2 1
direct
0.000 0.000 0.000 Fe
0.000 0.500 0.500 Hg
0.500 0.000 0.500 Hg
0.500 0.500 0.000 W
```

Summary:
- Theoretical density: 15.13 Mg/m³
- Total moment: 3.06 μB/cell
- Energy relative to the elements: 2.928 eV per formula unit

=====

VASP calculation (PBE) on FeHg2W after structural relaxation.

The structure in POSCAR format:
```
FeHg2W
1.0
2.838 0.000 0.000
0.000 4.281 0.000
-0.303 0.000 5.770
Fe Hg W
1 2 1
direct
0.000 0.000 0.000 Fe
0.482 0.500 0.246 Hg
0.518 0.500 0.754 Hg
0.000 0.000 0.500 W
```

Summary:
- Theoretical density: 15.18 Mg/m³
- Total moment: 2.83 μB/cell
- Energy relative to the elements: 3.144 eV per formula unit

=====

VASP calculation (PBE) on FeHg2W after structural relaxation.

The structure in POSCAR format:
```
FeHg2W
1.0
4.780 -1.430 0.000
4.780 1.430 0.000
-0.918 0.000 5.171
Fe Hg W
1 2 1
direct
0.000 0.000 0.000 Fe
0.254 0.254 0.755 Hg
0.746 0.746 0.245 Hg
0.500 0.500 0.500 W
```

Summary:
- Theoretical density: 15.05 Mg/m³
- Total moment: 2.18 μB/cell
- Energy relative to the elements: 3.188 eV per formula unit

=====

VASP calculation (PBE) on FeHg2W after structural relaxation.

The structure in POSCAR format:
```
FeHg2W
1.0
0.000 3.228 3.228
3.228 0.000 3.228
3.228 3.228 0.000
Fe Hg W
1 2 1
direct
0.000 0.000 0.000 Fe
0.250 0.250 0.250 Hg
0.750 0.750 0.750 Hg
0.500 0.500 0.500 W
```

Summary:
- Theoretical density: 15.81 Mg/m³
- Total moment: 0.00 μB/cell
- Energy relative to the elements: 4.370 eV per formula unit

=====

VASP calculation (PBE) on FeHg2W after structural relaxation.

The structure in POSCAR format:
```
FeHg2W
1.0
-3.699 3.699 2.699
3.699 -3.699 2.699
3.699 3.699 -2.699
Fe Hg W
2 4 2
direct
0.000 0.000 0.000 Fe
0.750 0.250 0.500 Fe
0.102 0.625 0.977 Hg
0.375 0.352 0.477 Hg
0.648 0.125 0.023 Hg
0.875 0.898 0.523 Hg
0.250 0.750 0.500 W
0.500 0.500 0.000 W
```

Summary:
- Theoretical density: 14.41 Mg/m³
- Total moment: 0.23 μB/cell
- Energy relative to the elements: 5.482 eV per formula unit

=====

VASP calculation (PBE) on FeHg2W after structural relaxation.

The structure in POSCAR format:
```
FeHg2W
1.0
4.067 0.000 0.000
0.000 4.067 0.000
0.000 0.000 4.234
Fe Hg W
1 2 1
direct
0.000 0.000 0.000 Fe
0.000 0.500 0.500 Hg
0.500 0.000 0.500 Hg
0.500 0.500 0.000 W
```

Summary:
- Theoretical density: 15.19 Mg/m³
- Total moment: 3.03 μB/cell
- Energy relative to the elements: 3.161 eV per formula unit

=====

VASP calculation (PBE) on FeHg2W after structural relaxation.

The structure in POSCAR format:
```
FeHg2W
1.0
3.159 0.000 0.000
0.000 4.697 0.000
0.000 0.000 4.789
Fe Hg W
1 2 1
direct
0.000 0.000 0.000 Fe
0.000 0.500 0.500 Hg
0.500 0.000 0.500 Hg
0.500 0.500 0.000 W
```

Summary:
- Theoretical density: 14.97 Mg/m³
- Total moment: 2.34 μB/cell
- Energy relative to the elements: 3.417 eV per formula unit

=====

VASP calculation (PBE) on FeHg2W after structural relaxation.

The structure in POSCAR format:
```
FeHg2W
1.0
-1.453 2.464 5.066
1.453 -2.464 5.066
1.453 2.464 -5.066
Fe Hg W
1 2 1
direct
0.000 0.000 0.000 Fe
0.254 0.754 0.500 Hg
0.538 0.538 0.000 Hg
0.807 0.307 0.500 W
```

Summary:
- Theoretical density: 14.67 Mg/m³
- Total moment: 2.39 μB/cell
- Energy relative to the elements: 2.811 eV per formula unit

=====

VASP calculation (PBE) on FeHg2W after structural relaxation.

The structure in POSCAR format:
```
FeHg2W
1.0
-2.028 2.028 4.254
2.028 -2.028 4.254
2.028 2.028 -4.254
Fe Hg W
1 2 1
direct
0.000 0.000 0.000 Fe
0.250 0.750 0.500 Hg
0.750 0.250 0.500 Hg
0.500 0.500 0.000 W
```

Summary:
- Theoretical density: 15.20 Mg/m³
- Total moment: 2.89 μB/cell
- Energy relative to the elements: 3.515 eV per formula unit

=====

VASP calculation (PBE) on FeHg2W after structural relaxation.

The structure in POSCAR format:
```
FeHg2W
1.0
-2.074 2.074 4.044
2.074 -2.074 4.044
2.074 2.074 -4.044
Fe Hg W
1 2 1
direct
0.000 0.000 0.000 Fe
0.250 0.750 0.500 Hg
0.500 0.500 0.000 Hg
0.750 0.250 0.500 W
```

Summary:
- Theoretical density: 15.29 Mg/m³
- Total moment: 1.87 μB/cell
- Energy relative to the elements: 3.555 eV per formula unit

=====

VASP calculation (PBE) on FeHg2W after structural relaxation.

The structure in POSCAR format:
```
FeHg2W
1.0
1.472 0.850 9.412
-1.472 0.850 9.412
0.000 -1.700 9.412
Fe Hg W
1 2 1
direct
0.000 0.000 0.000 Fe
0.253 0.253 0.253 Hg
0.747 0.747 0.747 Hg
0.500 0.500 0.500 W
```

Summary:
- Theoretical density: 15.06 Mg/m³
- Total moment: 2.66 μB/cell
- Energy relative to the elements: 2.832 eV per formula unit

=====

VASP calculation (PBE) on FeHg2W after structural relaxation.

The structure in POSCAR format:
```
FeHg2W
1.0
2.837 0.000 0.000
0.000 2.837 0.000
0.000 0.000 8.655
Fe Hg W
1 2 1
direct
0.000 0.000 0.000 Fe
0.500 0.500 0.237 Hg
0.500 0.500 0.763 Hg
0.000 0.000 0.500 W
```

Summary:
- Theoretical density: 15.28 Mg/m³
- Total moment: 2.79 μB/cell
- Energy relative to the elements: 2.767 eV per formula unit

=====

VASP calculation (PBE) on Y4FeHg after structural relaxation.

The structure in POSCAR format:
```
Y4FeHg
1.0
4.303 -6.229 0.000
4.303 6.229 0.000
-1.617 0.000 5.940
Y Fe Hg
8 2 2
direct
0.060 0.733 0.961 Y
0.205 0.367 0.595 Y
0.267 0.940 0.539 Y
0.367 0.205 0.095 Y
0.633 0.795 0.905 Y
0.733 0.060 0.461 Y
0.795 0.633 0.405 Y
0.940 0.267 0.039 Y
0.002 0.998 0.750 Fe
0.998 0.002 0.250 Fe
0.371 0.629 0.250 Hg
0.629 0.371 0.750 Hg
```

Summary:
- Theoretical density: 6.38 Mg/m³
- Total moment: 0.00 μB/cell
- Energy relative to the elements: -1.110 eV per formula unit

=====

VASP calculation (PBE) on Y4FeHg after structural relaxation.

The structure in POSCAR format:
```
Y4FeHg
1.0
0.000 4.373 4.373
4.373 0.000 4.373
4.373 4.373 0.000
Y Fe Hg
4 1 1
direct
0.125 0.125 0.125 Y
0.125 0.125 0.625 Y
0.125 0.625 0.125 Y
0.625 0.125 0.125 Y
0.750 0.750 0.750 Fe
0.500 0.500 0.500 Hg
```

Summary:
- Theoretical density: 6.08 Mg/m³
- Total moment: 2.52 μB/cell
- Energy relative to the elements: 3.945 eV per formula unit

=====

VASP calculation (PBE) on YFeHg3 after structural relaxation.

The structure in POSCAR format:
```
YFeHg3
1.0
5.791 0.000 0.000
0.000 5.791 0.000
0.000 0.000 5.791
Y Fe Hg
1 1 3
direct
0.000 0.000 0.000 Y
0.500 0.500 0.500 Fe
0.000 0.000 0.500 Hg
0.000 0.500 0.000 Hg
0.500 0.000 0.000 Hg
```

Summary:
- Theoretical density: 6.38 Mg/m³
- Total moment: 3.16 μB/cell
- Energy relative to the elements: 5.220 eV per formula unit

=====

VASP calculation (PBE) on YFe2Hg after structural relaxation.

The structure in POSCAR format:
```
YFe2Hg
1.0
3.433 0.000 0.000
0.000 4.514 0.000
-0.029 0.000 5.283
Y Fe Hg
1 2 1
direct
0.000 0.000 0.000 Y
0.472 0.500 0.788 Fe
0.528 0.500 0.212 Fe
0.500 0.000 0.500 Hg
```

Summary:
- Theoretical density: 8.14 Mg/m³
- Total moment: 4.65 μB/cell
- Energy relative to the elements: 1.259 eV per formula unit

=====

VASP calculation (PBE) on YFeHg3 after structural relaxation.

The structure in POSCAR format:
```
YFeHg3
1.0
4.986 0.000 0.000
0.000 4.986 0.000
0.000 0.000 4.986
Y Fe Hg
1 1 3
direct
0.000 0.000 0.000 Y
0.500 0.500 0.500 Fe
0.000 0.500 0.500 Hg
0.500 0.000 0.500 Hg
0.500 0.500 0.000 Hg
```

Summary:
- Theoretical density: 10.00 Mg/m³
- Total moment: 1.90 μB/cell
- Energy relative to the elements: 0.981 eV per formula unit

=====

VASP calculation (PBE) on YFe2Hg after structural relaxation.

The structure in POSCAR format:
```
YFe2Hg
1.0
-2.091 2.091 9.224
2.091 -2.091 9.224
2.091 2.091 -9.224
Y Fe Hg
2 4 2
direct
0.000 0.000 0.000 Y
0.750 0.250 0.500 Y
0.274 0.625 0.149 Fe
0.375 0.524 0.649 Fe
0.476 0.125 0.851 Fe
0.875 0.726 0.351 Fe
0.250 0.750 0.500 Hg
0.500 0.500 0.000 Hg
```

Summary:
- Theoretical density: 8.26 Mg/m³
- Total moment: 0.00 μB/cell
- Energy relative to the elements: 2.489 eV per formula unit

=====

VASP calculation (PBE) on YFe2Hg after structural relaxation.

The structure in POSCAR format:
```
YFe2Hg
1.0
-2.108 2.108 4.121
2.108 -2.108 4.121
2.108 2.108 -4.121
Y Fe Hg
1 2 1
direct
0.000 0.000 0.000 Y
0.250 0.750 0.500 Fe
0.750 0.250 0.500 Fe
0.500 0.500 0.000 Hg
```

Summary:
- Theoretical density: 9.10 Mg/m³
- Total moment: 4.71 μB/cell
- Energy relative to the elements: 1.141 eV per formula unit

=====

VASP calculation (PBE) on YFeHg after structural relaxation.

The structure in POSCAR format:
```
YFeHg
1.0
0.000 3.262 3.262
3.262 0.000 3.262
3.262 3.262 0.000
Y Fe Hg
1 1 1
direct
0.000 0.000 0.000 Y
0.750 0.750 0.750 Fe
0.500 0.500 0.500 Hg
```

Summary:
- Theoretical density: 8.26 Mg/m³
- Total moment: 1.74 μB/cell
- Energy relative to the elements: 0.759 eV per formula unit

=====

VASP calculation (PBE) on YFe2Hg after structural relaxation.

The structure in POSCAR format:
```
YFe2Hg
1.0
4.285 0.000 0.000
0.000 4.285 0.000
0.000 0.000 3.911
Y Fe Hg
1 2 1
direct
0.000 0.000 0.000 Y
0.000 0.500 0.500 Fe
0.500 0.000 0.500 Fe
0.500 0.500 0.000 Hg
```

Summary:
- Theoretical density: 9.28 Mg/m³
- Total moment: 3.79 μB/cell
- Energy relative to the elements: 1.106 eV per formula unit